Record 1
NiRhPb2: optimized geometry, GGA-PBE.

Output
SG: No. 10
Polymorph energy (0 for the lowest one): 161 meV/atom

Lattice parameters (Å, degrees): 3.394 3.366 7.264 67.18 90.00 90.00
Sites, in units of the cell vectors:
Ni 0.500 0.750 0.750
Pb 0.000 0.982 0.997
Pb 0.000 0.518 0.503
Rh 0.500 0.250 0.250

***

Record 2
Cu4MoSe: optimized geometry, GGA-PBE.

Output
SG: No. 216
VASP energy: -4.70 eV/atom

Lattice parameters (Å, degrees): 4.950 4.950 4.950 60.00 60.00 60.00
Last column: magnetic moment on the atom in μB.
Sites, in units of the cell vectors:
Cu 0.873 0.376 0.376  0.13
Cu 0.376 0.376 0.873  0.13
Cu 0.376 0.873 0.376  0.13
Cu 0.376 0.376 0.376  0.13
Mo 0.750 0.750 0.750  2.49
Se 0.000 0.000 0.000  -0.02

***

Record 3
UInRh: optimized geometry, GGA-PBE.

Output
SG: No. 189
VASP energy: -7.43 eV/atom

Lattice parameters (Å, degrees): 4.168 7.243 7.243 120.01 90.00 90.00
Last column: magnetic moment on the atom in μB.
Sites, in units of the cell vectors:
Rh 0.500 0.000 0.000  -0.14
Rh 0.000 0.333 0.667  -0.20
Rh 0.000 0.667 0.333  -0.20
U 0.500 0.000 0.582  2.19
U 0.500 0.418 0.418  2.09
U 0.500 0.582 0.000  1.99
In 0.000 0.000 0.247  -0.02
In 0.000 0.753 0.753  -0.02
In 0.000 0.247 0.000  -0.02

***

N(E_F) (states/eV/f.u.)
3.73, 2.90, 5.79